1.
K2SrMn | GGA-PBE | relaxed

Cell: 4.1413 6.0322 7.6183 Å, 90.00 90.00 90.00°
With the nearest neighbours (Å) after each atom.
Space group Pmmm (No. 47)
Unique sites:
K1 0.0000 0.0000 0.2244 (multiplicity 2)  1 K 3.42
Sr1 0.5000 0.5000 0.5000 (multiplicity 1)  2 Mn 3.81, 2 Sr 4.14, 8 K 4.22
Mn1 0.5000 0.5000 0.0000 (multiplicity 1)  2 Sr 3.81, 8 K 4.04, 2 Mn 4.14

Computed properties:
E above lowest polymorph: 0.2000 eV per atom
energy of formation from the pure elements: 0.68 eV per atom
calculated volume: 47.58 A^3/atom

=====

2.
K2SrMn | GGA-PBE | relaxed

Cell: 9.1125 9.1125 9.1125 Å, 90.00 90.00 90.00°
With the nearest neighbours (Å) after each atom.
Space group Fm-3m (No. 225)
Unique sites:
K1 0.2500 0.2500 0.2500 (multiplicity 8)  4 Mn 3.95, 4 Sr 3.95
Sr1 0.0000 0.0000 0.0000 (multiplicity 4)  8 K 3.95
Mn1 0.0000 0.0000 0.5000 (multiplicity 4)  8 K 3.95

Computed properties:
E above lowest polymorph: 0.2455 eV per atom
energy of formation from the pure elements: 0.73 eV per atom
calculated volume: 47.29 A^3/atom

=====

3.
K2SrMn | GGA-PBE | relaxed

Cell: 6.3157 6.3157 9.0853 Å, 90.00 90.00 90.00°
With the nearest neighbours (Å) after each atom.
Space group I-4m2 (No. 119)
Unique sites:
K1 0.0000 0.0000 0.0000 (multiplicity 2)  4 Mn 3.89, 4 K 3.89
K2 0.0000 0.5000 0.2500 (multiplicity 2)  4 K 3.89, 4 Sr 3.89
Sr1 0.0000 0.0000 0.5000 (multiplicity 2)  4 Mn 3.89, 4 K 3.89
Mn1 0.0000 0.5000 0.7500 (multiplicity 2)  4 Sr 3.89, 4 K 3.89

Computed properties:
E above lowest polymorph: 0.1467 eV per atom
energy of formation from the pure elements: 0.63 eV per atom
calculated volume: 45.30 A^3/atom